# Ti3OsI | the Alexandria database | PBEsol | optimized geometry
# Formation energy (no corrections), eV per atom: 0.442
data_Ti3OsI
_cell_length_a 4.776
_cell_length_b 4.776
_cell_length_c 4.776
_cell_angle_alpha 90.00
_cell_angle_beta 90.00
_cell_angle_gamma 90.00
_symmetry_space_group_name_H-M 'P m -3 m'
_symmetry_Int_Tables_number 221
_symmetry_space_group_name_Hall '-P 4 2 3'
loop_
_atom_site_label
_atom_site_fract_x
_atom_site_fract_y
_atom_site_fract_z
Ti1 0.000 0.000 0.500
Os1 0.000 0.000 0.000
I1 0.500 0.500 0.500


# CoRe2Rh | the Alexandria database | PBEsol | optimized geometry
# Energy relative to the elements, kJ per mole of atoms: 9.0
# Excess energy over the best structure of this formula in the dataset, eV per atom: 0.209
data_CoRe2Rh
_cell_length_a 2.6818
_cell_length_b 2.6818
_cell_length_c 25.8356
_cell_angle_alpha 90.00
_cell_angle_beta 90.00
_cell_angle_gamma 120.00
_symmetry_space_group_name_H-M 'R 3 m'
_symmetry_Int_Tables_number 160
_symmetry_space_group_name_Hall 'R 3 -2"'
loop_
_atom_site_label
_atom_site_fract_x
_atom_site_fract_y
_atom_site_fract_z
Co1 0.0000 0.0000 0.0000
Re1 0.0000 0.0000 0.2548
Re2 0.0000 0.0000 0.4992
Rh1 0.0000 0.0000 0.7478


# ZrCrAg2 | the Alexandria database | PBEsol | optimized geometry
# Energy relative to the elements, kJ per mole of atoms: 30.2
# Excess energy over the best structure of this formula in the dataset, eV per atom: 0.109
data_ZrCrAg2
_cell_length_a 3.023
_cell_length_b 3.023
_cell_length_c 7.615
_cell_angle_alpha 90.00
_cell_angle_beta 90.00
_cell_angle_gamma 90.00
_symmetry_space_group_name_H-M 'P 4/m m m'
_symmetry_Int_Tables_number 123
_symmetry_space_group_name_Hall '-P 4 2'
loop_
_atom_site_label
_atom_site_fract_x
_atom_site_fract_y
_atom_site_fract_z
Zr1 0.000 0.000 0.000
Cr1 0.000 0.000 0.500
Ag1 0.500 0.500 0.273


# AlRe3 | the Alexandria database | PBEsol | optimized geometry
# Energy relative to the elements, kJ per mole of atoms: -9.3
data_AlRe3
_cell_length_a 2.7921
_cell_length_b 2.7921
_cell_length_c 8.6047
_cell_angle_alpha 90.00
_cell_angle_beta 90.00
_cell_angle_gamma 120.00
_symmetry_space_group_name_H-M 'P -6 m 2'
_symmetry_Int_Tables_number 187
_symmetry_space_group_name_Hall 'P -6 2'
loop_
_atom_site_label
_atom_site_fract_x
_atom_site_fract_y
_atom_site_fract_z
Al1 0.0000 0.0000 0.0000
Re1 0.0000 0.0000 0.5000
Re2 0.3333 0.6667 0.2500


# CrTcCl2 | the Alexandria database | PBEsol | optimized geometry
# Excess energy over the best structure of this formula in the dataset, eV per atom: 0.000
# Formation energy (no corrections), eV per atom: 0.139
data_CrTcCl2
_cell_length_a 12.110
_cell_length_b 2.915
_cell_length_c 4.326
_cell_angle_alpha 90.00
_cell_angle_beta 98.83
_cell_angle_gamma 90.00
_symmetry_space_group_name_H-M 'C 1 2/m 1'
_symmetry_Int_Tables_number 12
loop_
_symmetry_equiv_pos_as_xyz
'x,y,z'
'-x,-y,-z'
'-x,y,-z'
'x,-y,z'
'x+1/2,y+1/2,z'
'-x+1/2,-y+1/2,-z'
'-x+1/2,y+1/2,-z'
'x+1/2,-y+1/2,z'
loop_
_atom_site_label
_atom_site_fract_x
_atom_site_fract_y
_atom_site_fract_z
Cr1 0.000 0.000 0.000
Tc1 0.000 0.500 0.500
Cl1 0.146 0.500 0.201


# BaRuW2 | the Alexandria database | PBEsol | optimized geometry
# Energy relative to the elements, kJ per mole of atoms: 94.1
# Excess energy over the best structure of this formula in the dataset, eV per atom: 0.000
data_BaRuW2
_cell_length_a 3.0979
_cell_length_b 3.0979
_cell_length_c 28.5218
_cell_angle_alpha 90.00
_cell_angle_beta 90.00
_cell_angle_gamma 120.00
_symmetry_space_group_name_H-M 'R 3 m'
_symmetry_Int_Tables_number 160
_symmetry_space_group_name_Hall 'R 3 -2"'
loop_
_atom_site_label
_atom_site_fract_x
_atom_site_fract_y
_atom_site_fract_z
Ba1 0.0000 0.0000 0.0000
Ru1 0.0000 0.0000 0.7645
W1 0.0000 0.0000 0.2293
W2 0.0000 0.0000 0.4967


# CrCo3N | the Alexandria database | PBEsol | optimized geometry
# Formation energy (no corrections), eV per atom: 2.309
data_CrCo3N
_cell_length_a 4.075
_cell_length_b 4.075
_cell_length_c 4.075
_cell_angle_alpha 90.00
_cell_angle_beta 90.00
_cell_angle_gamma 90.00
_symmetry_space_group_name_H-M 'P m -3 m'
_symmetry_Int_Tables_number 221
_symmetry_space_group_name_Hall '-P 4 2 3'
loop_
_atom_site_label
_atom_site_fract_x
_atom_site_fract_y
_atom_site_fract_z
Cr1 0.000 0.000 0.000
Co1 0.000 0.000 0.500
N1 0.500 0.500 0.500


# CaRhSe2 | the Alexandria database | PBEsol | optimized geometry
# Excess energy over the best structure of this formula in the dataset, eV per atom: 0.058
# Formation energy (no corrections), eV per atom: -0.878
data_CaRhSe2
_cell_length_a 4.574
_cell_length_b 3.937
_cell_length_c 9.991
_cell_angle_alpha 90.00
_cell_angle_beta 90.00
_cell_angle_gamma 90.00
_symmetry_space_group_name_H-M 'A m m 2'
_symmetry_Int_Tables_number 38
loop_
_symmetry_equiv_pos_as_xyz
'x,y,z'
'-x,-y,z'
'-x,y,z'
'x,-y,z'
'x,y+1/2,z+1/2'
'-x,-y+1/2,z+1/2'
'-x,y+1/2,z+1/2'
'x,-y+1/2,z+1/2'
loop_
_atom_site_label
_atom_site_fract_x
_atom_site_fract_y
_atom_site_fract_z
Ca1 0.000 0.000 0.000
Rh1 0.500 0.000 0.782
Se1 0.000 0.000 0.709
Se2 0.500 0.000 0.421


# Li2ReW | the Alexandria database | PBEsol | optimized geometry
# Energy relative to the elements, kJ per mole of atoms: 44.6
# Excess energy over the best structure of this formula in the dataset, eV per atom: 0.208
data_Li2ReW
_cell_length_a 2.585
_cell_length_b 2.585
_cell_length_c 9.176
_cell_angle_alpha 90.00
_cell_angle_beta 90.00
_cell_angle_gamma 90.00
_symmetry_space_group_name_H-M 'P 4 m m'
_symmetry_Int_Tables_number 99
loop_
_symmetry_equiv_pos_as_xyz
'x,y,z'
'-y,x,z'
'-x,-y,z'
'y,-x,z'
'-x,y,z'
'y,x,z'
'x,-y,z'
'-y,-x,z'
loop_
_atom_site_label
_atom_site_fract_x
_atom_site_fract_y
_atom_site_fract_z
Li1 0.000 0.000 0.000
Li2 0.500 0.500 0.277
Re1 0.000 0.000 0.508
W1 0.500 0.500 0.758


# Y2TlCd | the Alexandria database | PBEsol | optimized geometry
# Energy relative to the elements, kJ per mole of atoms: -41.5
data_Y2TlCd
_cell_length_a 5.231
_cell_length_b 5.231
_cell_length_c 3.720
_cell_angle_alpha 90.00
_cell_angle_beta 90.00
_cell_angle_gamma 90.00
_symmetry_space_group_name_H-M 'P 4/m m m'
_symmetry_Int_Tables_number 123
_symmetry_space_group_name_Hall '-P 4 2'
loop_
_atom_site_label
_atom_site_fract_x
_atom_site_fract_y
_atom_site_fract_z
Y1 0.000 0.500 0.000
Tl1 0.000 0.000 0.500
Cd1 0.500 0.500 0.500


# AsWBr2 | the Alexandria database | PBEsol | optimized geometry
# Excess energy over the best structure of this formula in the dataset, eV per atom: 0.000
# Formation energy (no corrections), eV per atom: 0.322
data_AsWBr2
_cell_length_a 9.123
_cell_length_b 9.123
_cell_length_c 4.821
_cell_angle_alpha 90.00
_cell_angle_beta 90.00
_cell_angle_gamma 90.00
_symmetry_space_group_name_H-M 'I -4 2 d'
_symmetry_Int_Tables_number 122
_symmetry_space_group_name_Hall 'I -4 2bw'
loop_
_atom_site_label
_atom_site_fract_x
_atom_site_fract_y
_atom_site_fract_z
As1 0.000 0.000 0.000
W1 0.000 0.000 0.500
Br1 0.118 0.750 0.625


# InAg2Pt | the Alexandria database | PBEsol | optimized geometry
# Energy relative to the elements, kJ per mole of atoms: -17.4
data_InAg2Pt
_cell_length_a 6.468
_cell_length_b 6.468
_cell_length_c 6.468
_cell_angle_alpha 90.00
_cell_angle_beta 90.00
_cell_angle_gamma 90.00
_symmetry_space_group_name_H-M 'F -4 3 m'
_symmetry_Int_Tables_number 216
_symmetry_space_group_name_Hall 'F -4 2 3'
loop_
_atom_site_label
_atom_site_fract_x
_atom_site_fract_y
_atom_site_fract_z
In1 0.000 0.000 0.000
Ag1 0.000 0.000 0.500
Ag2 0.250 0.250 0.750
Pt1 0.250 0.250 0.250


# InAgSeN2 | the Alexandria database | PBEsol | optimized geometry
# Formation energy (no corrections), eV per atom: 1.407
data_InAgSeN2
_cell_length_a 4.152
_cell_length_b 4.152
_cell_length_c 5.620
_cell_angle_alpha 90.00
_cell_angle_beta 90.00
_cell_angle_gamma 90.00
_symmetry_space_group_name_H-M 'P 4/m m m'
_symmetry_Int_Tables_number 123
_symmetry_space_group_name_Hall '-P 4 2'
loop_
_atom_site_label
_atom_site_fract_x
_atom_site_fract_y
_atom_site_fract_z
In1 0.000 0.000 0.000
Ag1 0.500 0.500 0.500
Se1 0.000 0.000 0.500
N1 0.000 0.500 0.000


# TlCo2Re | the Alexandria database | PBEsol | optimized geometry
# Energy relative to the elements, kJ per mole of atoms: 59.4
# Excess energy over the best structure of this formula in the dataset, eV per atom: 0.000
data_TlCo2Re
_cell_length_a 4.246
_cell_length_b 4.246
_cell_length_c 3.094
_cell_angle_alpha 90.00
_cell_angle_beta 90.00
_cell_angle_gamma 90.00
_symmetry_space_group_name_H-M 'P 4/m m m'
_symmetry_Int_Tables_number 123
_symmetry_space_group_name_Hall '-P 4 2'
loop_
_atom_site_label
_atom_site_fract_x
_atom_site_fract_y
_atom_site_fract_z
Tl1 0.000 0.000 0.000
Co1 0.000 0.500 0.500
Re1 0.500 0.500 0.000


# In2AsSe | the Alexandria database | PBEsol | optimized geometry
# Excess energy over the best structure of this formula in the dataset, eV per atom: 0.451
# Formation energy (no corrections), eV per atom: 0.145
data_In2AsSe
_cell_length_a 7.082
_cell_length_b 7.082
_cell_length_c 7.082
_cell_angle_alpha 90.00
_cell_angle_beta 90.00
_cell_angle_gamma 90.00
_symmetry_space_group_name_H-M 'F -4 3 m'
_symmetry_Int_Tables_number 216
_symmetry_space_group_name_Hall 'F -4 2 3'
loop_
_atom_site_label
_atom_site_fract_x
_atom_site_fract_y
_atom_site_fract_z
In1 0.000 0.000 0.000
In2 0.250 0.250 0.250
As1 0.000 0.000 0.500
Se1 0.250 0.250 0.750


# CaFePt2 | the Alexandria database | PBEsol | optimized geometry
# Energy relative to the elements, kJ per mole of atoms: -23.4
data_CaFePt2
_cell_length_a 4.121
_cell_length_b 4.121
_cell_length_c 3.790
_cell_angle_alpha 90.00
_cell_angle_beta 90.00
_cell_angle_gamma 90.00
_symmetry_space_group_name_H-M 'P 4/m m m'
_symmetry_Int_Tables_number 123
_symmetry_space_group_name_Hall '-P 4 2'
loop_
_atom_site_label
_atom_site_fract_x
_atom_site_fract_y
_atom_site_fract_z
Ca1 0.000 0.000 0.000
Fe1 0.500 0.500 0.000
Pt1 0.000 0.500 0.500


# SrSiCl | the Alexandria database | PBEsol | optimized geometry
# Formation energy (no corrections), eV per atom: -0.531
data_SrSiCl
_cell_length_a 3.463
_cell_length_b 3.463
_cell_length_c 14.292
_cell_angle_alpha 90.00
_cell_angle_beta 90.00
_cell_angle_gamma 90.00
_symmetry_space_group_name_H-M 'I 4 m m'
_symmetry_Int_Tables_number 107
_symmetry_space_group_name_Hall 'I 4 -2'
loop_
_atom_site_label
_atom_site_fract_x
_atom_site_fract_y
_atom_site_fract_z
Sr1 0.000 0.000 0.000
Si1 0.000 0.000 0.658
Cl1 0.000 0.000 0.393


# CdSbAs | the Alexandria database | PBEsol | optimized geometry
# Excess energy over the best structure of this formula in the dataset, eV per atom: 0.041
# Formation energy (no corrections), eV per atom: 0.279
data_CdSbAs
_cell_length_a 3.1741
_cell_length_b 3.1741
_cell_length_c 7.6893
_cell_angle_alpha 90.00
_cell_angle_beta 90.00
_cell_angle_gamma 120.00
_symmetry_space_group_name_H-M 'P 3 m 1'
_symmetry_Int_Tables_number 156
loop_
_symmetry_equiv_pos_as_xyz
'x,y,z'
'-y,x-y,z'
'-x+y,-x,z'
'-y,-x,z'
'-x+y,y,z'
'x,x-y,z'
loop_
_atom_site_label
_atom_site_fract_x
_atom_site_fract_y
_atom_site_fract_z
Cd1 0.0000 0.0000 0.0000
Sb1 0.3333 0.6667 0.6512
As1 0.6667 0.3333 0.2997


# SrSi | the Alexandria database | PBEsol | optimized geometry
# Formation energy (no corrections), eV per atom: -0.050
data_SrSi
_cell_length_a 5.5938
_cell_length_b 5.5938
_cell_length_c 11.7471
_cell_angle_alpha 90.00
_cell_angle_beta 90.00
_cell_angle_gamma 120.00
_symmetry_space_group_name_H-M 'R -3 m'
_symmetry_Int_Tables_number 166
_symmetry_space_group_name_Hall '-R 3 2"'
loop_
_atom_site_label
_atom_site_fract_x
_atom_site_fract_y
_atom_site_fract_z
Sr1 0.0000 0.0000 0.1529
Si1 0.0000 0.0000 0.4039


# Sr2YCl | the Alexandria database | PBEsol | optimized geometry
# Formation energy (no corrections), eV per atom: -0.555
data_Sr2YCl
_cell_length_a 3.693
_cell_length_b 3.693
_cell_length_c 10.837
_cell_angle_alpha 90.00
_cell_angle_beta 90.00
_cell_angle_gamma 90.00
_symmetry_space_group_name_H-M 'P 4 m m'
_symmetry_Int_Tables_number 99
loop_
_symmetry_equiv_pos_as_xyz
'x,y,z'
'-y,x,z'
'-x,-y,z'
'y,-x,z'
'-x,y,z'
'y,x,z'
'x,-y,z'
'-y,-x,z'
loop_
_atom_site_label
_atom_site_fract_x
_atom_site_fract_y
_atom_site_fract_z
Sr1 0.000 0.000 0.000
Sr2 0.500 0.500 0.413
Y1 0.000 0.000 0.671
Cl1 0.500 0.500 0.132